(1)
The following is a DFT calculation (PBEsol) of a relaxed structure of Ba2Li2In.

Values from the calculation:
- DFT formation energy (eV/atom) = -0.12
- total energy (eV per atom) = -2.367
- DOS at the Fermi energy (states/eV/cell) = 6.40

a = 4.080 Å, b = 4.080 Å, c = 21.446 Å
α = 90.00°, β = 90.00°, γ = 90.00°
Space group I4/mmm (No. 139)
Symmetry-distinct sites (fractional):
Ba 0.000 0.000 0.099 (multiplicity 4)
Li 0.000 0.500 0.250 (multiplicity 4)
In 0.000 0.000 0.500 (multiplicity 2)


(2)
The following is a DFT calculation (PBEsol) of a relaxed structure of Li2AlMo.

Values from the calculation:
- DFT formation energy (eV/atom) = 0.36
- total energy (eV per atom) = -4.593
- DOS at the Fermi energy (states/eV/cell) = 6.09

a = 4.367 Å, b = 4.367 Å, c = 6.105 Å
α = 90.00°, β = 90.00°, γ = 90.00°
Space group I-4m2 (No. 119)
Symmetry-distinct sites (fractional):
Li 0.000 0.000 0.000 (multiplicity 2)
Li 0.000 0.500 0.250 (multiplicity 2)
Al 0.000 0.000 0.500 (multiplicity 2)
Mo 0.000 0.500 0.750 (multiplicity 2)


(3)
The following is a DFT calculation (PBEsol) of a relaxed structure of NiIr2W.

Values from the calculation:
- offset from the most stable computed form (eV/atom) = 0.000
- DFT formation energy (eV/atom) = -0.25
- total energy (eV per atom) = -10.152
- DOS at the Fermi energy (states/eV/cell) = 7.96

a = 3.832 Å, b = 3.832 Å, c = 7.399 Å
α = 90.00°, β = 90.00°, γ = 90.00°
Space group I4/mmm (No. 139)
Symmetry-distinct sites (fractional):
Ni 0.000 0.000 0.000 (multiplicity 2)
Ir 0.000 0.500 0.250 (multiplicity 4)
W 0.000 0.000 0.500 (multiplicity 2)


(4)
The following is a DFT calculation (PBEsol) of a relaxed structure of Ca2AsF.

Values from the calculation:
- uncorrected formation energy (meV/atom) = -1895
- total energy (eV per atom) = -4.720
- DOS at the Fermi energy (states/eV/cell) = 0.00

a = 6.857 Å, b = 6.857 Å, c = 6.857 Å
α = 90.00°, β = 90.00°, γ = 90.00°
Space group Fm-3m (No. 225)
Symmetry-distinct sites (fractional):
Ca 0.250 0.250 0.250 (multiplicity 8)
As 0.000 0.000 0.000 (multiplicity 4)
F 0.000 0.000 0.500 (multiplicity 4)


(5)
The following is a DFT calculation (PBEsol) of a relaxed structure of ZnCuAu2.

Values from the calculation:
- DFT formation energy (eV/atom) = -0.06
- total energy (eV per atom) = -3.506
- DOS at the Fermi energy (states/eV/cell) = 3.65

a = 6.217 Å, b = 6.217 Å, c = 6.217 Å
α = 90.00°, β = 90.00°, γ = 90.00°
Space group F-43m (No. 216)
Symmetry-distinct sites (fractional):
Zn 0.000 0.000 0.000 (multiplicity 4)
Cu 0.250 0.250 0.250 (multiplicity 4)
Au 0.000 0.000 0.500 (multiplicity 4)
Au 0.250 0.250 0.750 (multiplicity 4)


(6)
The following is a DFT calculation (PBEsol) of a relaxed structure of Hf2MgFeBr.

Values from the calculation:
- uncorrected formation energy (meV/atom) = 1433
- total energy (eV per atom) = -5.278
- DOS at the Fermi energy (states/eV/cell) = 6.54

a = 5.079 Å, b = 5.079 Å, c = 4.373 Å
α = 90.00°, β = 90.00°, γ = 90.00°
Space group P4/mmm (No. 123)
Symmetry-distinct sites (fractional):
Hf 0.000 0.500 0.000 (multiplicity 2)
Mg 0.000 0.000 0.000 (multiplicity 1)
Fe 0.000 0.000 0.500 (multiplicity 1)
Br 0.500 0.500 0.500 (multiplicity 1)